! DyTaMoO6 PBE with a Hubbard U optimized geometry; values from VASP
&SYSTEM
  ibrav = 0, nat = 18, ntyp = 4
/
ATOMIC_SPECIES
Dy 162.50 Dy.upf
Ta 180.95 Ta.upf
Mo 95.94 Mo.upf
O 16.00 O.upf
ATOMIC_POSITIONS crystal
Dy 0.333 0.667 0.250
Dy 0.667 0.333 0.750
Ta 0.333 0.667 0.750
Ta 0.667 0.333 0.250
Mo 0.000 0.000 0.000
Mo 0.000 0.000 0.500
O 0.040 0.344 0.627
O 0.040 0.696 0.873
O 0.304 0.344 0.873
O 0.304 0.960 0.627
O 0.344 0.040 0.127
O 0.344 0.304 0.373
O 0.656 0.696 0.627
O 0.656 0.960 0.873
O 0.696 0.040 0.373
O 0.696 0.656 0.127
O 0.960 0.304 0.127
O 0.960 0.656 0.373
CELL_PARAMETERS angstrom
5.431 0.000 0.000
-2.715 4.703 0.000
0.000 0.000 8.962
! E   -8.50 eV/atom